Density functional theory data (PBE) for crystalline La3Pu2Ru4 at its relaxed geometry.

Lattice parameters (Å, degrees): 6.078 6.078 9.059 101.31 101.31 41.01
Fractional coordinates of all 9 atoms:
La (0.000, 0.000, 0.000)
La (0.376, 0.376, 0.614)
La (0.624, 0.624, 0.386)
Pu (0.326, 0.326, 0.216)
Pu (0.674, 0.674, 0.784)
Ru (0.087, 0.087, 0.635)
Ru (0.281, 0.281, 0.907)
Ru (0.719, 0.719, 0.093)
Ru (0.913, 0.913, 0.365)

Computed properties:
Space group   C2/m, No. 12
Energy of formation from the pure elements   -0.27 eV per atom
E   -83.0 eV/f.u.


Density functional theory data (PBE) for crystalline La2PuRu2 at its relaxed geometry.

Lattice parameters (Å, degrees): 5.968 5.968 7.965 99.48 99.48 61.38
Fractional coordinates of all 10 atoms:
La (0.029, 0.274, 0.151)
La (0.274, 0.029, 0.651)
La (0.726, 0.971, 0.349)
La (0.971, 0.726, 0.849)
Pu (0.385, 0.615, 0.250)
Pu (0.615, 0.385, 0.750)
Ru (0.238, 0.501, 0.490)
Ru (0.499, 0.762, 0.010)
Ru (0.501, 0.238, 0.990)
Ru (0.762, 0.499, 0.510)

Computed properties:
Space group   C2/c, No. 15
Energy of formation from the pure elements   -0.27 eV per atom
E   -44.1 eV/f.u.


Density functional theory data (PBE) for crystalline LaPuRu at its relaxed geometry.

Lattice parameters (Å, degrees): 4.830 4.248 7.442 90.00 92.33 90.00
Fractional coordinates of all 6 atoms:
La (0.246, 0.250, 0.369)
La (0.754, 0.750, 0.631)
Pu (0.235, 0.750, 0.982)
Pu (0.765, 0.250, 0.018)
Ru (0.332, 0.250, 0.766)
Ru (0.668, 0.750, 0.234)

Computed properties:
Space group   P2_1/m, No. 11
Energy of formation from the pure elements   -0.12 eV per atom
E   -28.9 eV/f.u.


Density functional theory data (PBE) for crystalline La2PuRu at its relaxed geometry.

Lattice parameters (Å, degrees): 3.874 3.874 31.181 90.00 90.00 120.00
Fractional coordinates of all 12 atoms:
La (0.000, 0.000, 0.113)
La (0.000, 0.000, 0.887)
La (0.333, 0.667, 0.554)
La (0.333, 0.667, 0.780)
La (0.667, 0.333, 0.220)
La (0.667, 0.333, 0.446)
Pu (0.000, 0.000, 0.000)
Pu (0.333, 0.667, 0.667)
Pu (0.667, 0.333, 0.333)
Ru (0.000, 0.000, 0.500)
Ru (0.333, 0.667, 0.167)
Ru (0.667, 0.333, 0.833)

Computed properties:
Space group   R-3m, No. 166
Energy of formation from the pure elements   0.24 eV per atom
E   -32.5 eV/f.u.


Density functional theory data (PBE) for crystalline La2PuRu3 at its relaxed geometry.

Lattice parameters (Å, degrees): 5.940 5.940 8.161 90.00 90.00 120.00
Fractional coordinates of all 12 atoms:
La (0.333, 0.667, 0.062)
La (0.333, 0.667, 0.438)
La (0.667, 0.333, 0.562)
La (0.667, 0.333, 0.938)
Pu (0.000, 0.000, 0.000)
Pu (0.000, 0.000, 0.500)
Ru (0.165, 0.330, 0.750)
Ru (0.165, 0.835, 0.750)
Ru (0.330, 0.165, 0.250)
Ru (0.670, 0.835, 0.750)
Ru (0.835, 0.165, 0.250)
Ru (0.835, 0.670, 0.250)

Computed properties:
Space group   P6_3/mmc, No. 194
Energy of formation from the pure elements   -0.27 eV per atom
E   -53.7 eV/f.u.


Density functional theory data (PBE) for crystalline LaPu2Ru at its relaxed geometry.

Lattice parameters (Å, degrees): 4.500 4.500 16.493 90.00 90.00 120.00
Fractional coordinates of all 12 atoms:
La (0.000, 0.000, 0.000)
La (0.333, 0.667, 0.667)
La (0.667, 0.333, 0.333)
Pu (0.000, 0.000, 0.175)
Pu (0.000, 0.000, 0.825)
Pu (0.333, 0.667, 0.492)
Pu (0.333, 0.667, 0.841)
Pu (0.667, 0.333, 0.159)
Pu (0.667, 0.333, 0.508)
Ru (0.000, 0.000, 0.500)
Ru (0.333, 0.667, 0.167)
Ru (0.667, 0.333, 0.833)

Computed properties:
Space group   R-3m, No. 166
Energy of formation from the pure elements   0.49 eV per atom
E   -40.9 eV/f.u.


Density functional theory data (PBE) for crystalline La3Pu2Ru4 at its relaxed geometry.

Lattice parameters (Å, degrees): 9.079 9.079 5.496 94.10 94.10 65.36
Fractional coordinates of all 18 atoms:
La (0.079, 0.921, 0.750)
La (0.289, 0.501, 0.590)
La (0.499, 0.711, 0.910)
La (0.501, 0.289, 0.090)
La (0.711, 0.499, 0.410)
La (0.921, 0.079, 0.250)
Pu (0.097, 0.328, 0.068)
Pu (0.328, 0.097, 0.568)
Pu (0.672, 0.903, 0.432)
Pu (0.903, 0.672, 0.932)
Ru (0.045, 0.339, 0.575)
Ru (0.189, 0.666, 0.115)
Ru (0.334, 0.811, 0.385)
Ru (0.339, 0.045, 0.075)
Ru (0.661, 0.955, 0.925)
Ru (0.666, 0.189, 0.615)
Ru (0.811, 0.334, 0.885)
Ru (0.955, 0.661, 0.425)

Computed properties:
Space group   C2/c, No. 15
Energy of formation from the pure elements   -0.09 eV per atom
E   -81.4 eV/f.u.


Density functional theory data (PBE) for crystalline LaPuRu at its relaxed geometry.

Lattice parameters (Å, degrees): 6.858 6.858 6.858 90.00 90.00 90.00
Fractional coordinates of all 12 atoms:
La (0.000, 0.000, 0.000)
La (0.000, 0.500, 0.500)
La (0.500, 0.000, 0.500)
La (0.500, 0.500, 0.000)
Pu (0.000, 0.000, 0.500)
Pu (0.000, 0.500, 0.000)
Pu (0.500, 0.000, 0.000)
Pu (0.500, 0.500, 0.500)
Ru (0.250, 0.250, 0.750)
Ru (0.250, 0.750, 0.250)
Ru (0.750, 0.250, 0.250)
Ru (0.750, 0.750, 0.750)

Computed properties:
Space group   F-43m, No. 216
Energy of formation from the pure elements   0.02 eV per atom
E   -28.5 eV/f.u.


The highest E belongs to which entry?
number 8


Repeat the sixth record exactly.
Density functional theory data (PBE) for crystalline LaPu2Ru at its relaxed geometry.

Lattice parameters (Å, degrees): 4.500 4.500 16.493 90.00 90.00 120.00
Fractional coordinates of all 12 atoms:
La (0.000, 0.000, 0.000)
La (0.333, 0.667, 0.667)
La (0.667, 0.333, 0.333)
Pu (0.000, 0.000, 0.175)
Pu (0.000, 0.000, 0.825)
Pu (0.333, 0.667, 0.492)
Pu (0.333, 0.667, 0.841)
Pu (0.667, 0.333, 0.159)
Pu (0.667, 0.333, 0.508)
Ru (0.000, 0.000, 0.500)
Ru (0.333, 0.667, 0.167)
Ru (0.667, 0.333, 0.833)

Computed properties:
Space group   R-3m, No. 166
Energy of formation from the pure elements   0.49 eV per atom
E   -40.9 eV/f.u.


The lowest E belongs to which entry?
number 1